PBE-GGA Rb2UTlF6, optimized geometry; E = -54.68 eV per formula unit; space-group type = R-3m, No. 166; total magnetic moment = 3.0 μB per formula unit; ΔE_f (raw) = -2.786 eV per atom
1.0
3.6837 2.1268 10.2546
-3.6837 2.1268 10.2546
0.0000 -4.2536 10.2546
Rb U Tl F
4 2 2 12
Cartesian
0.0000 0.0000 4.0113
0.0000 0.0000 7.8321
0.0000 0.0000 22.9316
0.0000 0.0000 26.7524
0.0000 0.0000 0.0000
0.0000 0.0000 15.3819
0.0000 0.0000 11.8648
0.0000 0.0000 18.8990
-1.7857 -1.0310 14.3923
0.0000 -2.6024 11.7392
-2.2537 1.3012 11.7392
-2.2537 -1.3012 19.0246
0.0000 -2.0619 16.3714
-1.7857 1.0310 16.3714
1.7857 -1.0310 14.3923
0.0000 2.0619 14.3923
2.2537 1.3012 11.7392
2.2537 -1.3012 19.0246
0.0000 2.6024 19.0246
1.7857 1.0310 16.3714



PBE-GGA YPaS4, optimized geometry; E = -42.67 eV per formula unit; space-group type = Cmmm, No. 65; total magnetic moment = 0.0 μB per formula unit; ΔE_f (raw) = -1.701 eV per atom; E above lowest polymorph = 61 meV/atom
1.0
4.3915 -4.4761 0.0000
4.3915 4.4761 0.0000
0.0000 0.0000 4.1483
Y Pa S
1 1 4
Cartesian
0.0000 0.0000 0.0000
4.3915 0.0000 2.0742
1.7716 0.0000 2.0742
4.3915 1.6793 0.0000
4.3915 -1.6793 0.0000
7.0115 0.0000 2.0742



PBE-GGA BeSiNi6, optimized geometry; E = -46.26 eV per formula unit; space-group type = Cmmm, No. 65; total magnetic moment = 1.4 μB per formula unit; ΔE_f (raw) = -0.302 eV per atom; E above lowest polymorph = 4 meV/atom
1.0
3.4799 -4.9040 0.0000
3.4799 4.9040 0.0000
0.0000 0.0000 9.8045
Be Si Ni
4 4 24
Cartesian
0.0000 0.0000 2.4127
0.0000 0.0000 7.3918
3.4799 2.4797 0.0000
3.4799 -2.4797 0.0000
3.4799 2.4740 4.9023
3.4799 0.0000 2.4140
3.4799 0.0000 7.3905
3.4799 -2.4740 4.9023
0.0000 0.0000 0.0000
0.0000 0.0000 4.9023
1.7333 1.2341 1.2098
1.7333 1.2341 8.5947
1.7371 1.2193 3.6624
1.7371 1.2193 6.1421
3.4799 2.4664 2.4214
3.4799 2.4664 7.3831
1.7371 -1.2193 3.6624
1.7371 -1.2193 6.1421
1.7333 -1.2341 1.2098
1.7333 -1.2341 8.5947
3.4799 0.0000 0.0000
3.4799 0.0000 4.9023
5.2265 1.2341 1.2098
5.2265 1.2341 8.5947
5.2227 1.2193 3.6624
5.2227 1.2193 6.1421
3.4799 -2.4664 2.4214
3.4799 -2.4664 7.3831
5.2227 -1.2193 3.6624
5.2227 -1.2193 6.1421
5.2265 -1.2341 1.2098
5.2265 -1.2341 8.5947



PBE-GGA CaTePd2, optimized geometry; E = -17.76 eV per formula unit; space-group type = I-42d, No. 122; total magnetic moment = 0.0 μB per formula unit; ΔE_f (raw) = -0.557 eV per atom
1.0
-2.3425 2.3425 8.9471
2.3425 -2.3425 8.9471
2.3425 2.3425 -8.9471
Ca Te Pd
2 2 4
Cartesian
0.0000 0.0000 0.0000
0.0000 2.3425 4.4736
2.3425 0.0000 4.4736
0.0000 0.0000 8.9471
1.1713 -0.7842 6.7104
1.5583 1.1713 2.2368
1.1713 3.1267 -2.2368
0.7842 1.1713 11.1839